No. 1
# YPb2 | Alexandria | PBE | optimized geometry
data_YPb2
_symmetry_space_group_name_H-M 'P 1'
_symmetry_Int_Tables_number 1
_cell_length_a 6.4329
_cell_length_b 6.4329
_cell_length_c 6.4329
_cell_angle_alpha 107.44
_cell_angle_beta 107.44
_cell_angle_gamma 113.63
loop_
_symmetry_equiv_pos_as_xyz
'x,y,z'
loop_
_atom_site_label
_atom_site_fract_x
_atom_site_fract_y
_atom_site_fract_z
_atom_site_occupancy
Y1 0.2500 0.2500 0.0000 1
Y2 0.7500 0.7500 0.0000 1
Pb1 0.2636 0.7637 0.0273 1
Pb2 0.7363 0.2364 0.9727 1
Pb3 0.2364 0.2636 0.5000 1
Pb4 0.7637 0.7363 0.5000 1
# - space-group type = No. 140
# - total DFT energy (no corrections) (eV for the cell shown) = -29.04

No. 2
# FeMo2Br | Alexandria | PBE | optimized geometry
data_FeMo2Br
_symmetry_space_group_name_H-M 'P 1'
_symmetry_Int_Tables_number 1
_cell_length_a 5.4843
_cell_length_b 5.4843
_cell_length_c 6.7515
_cell_angle_alpha 66.04
_cell_angle_beta 66.04
_cell_angle_gamma 90.00
loop_
_symmetry_equiv_pos_as_xyz
'x,y,z'
loop_
_atom_site_label
_atom_site_fract_x
_atom_site_fract_y
_atom_site_fract_z
_atom_site_occupancy
Mo1 0.5792 0.1250 0.2500 1
Mo2 0.1708 0.6250 0.2500 1
Mo3 0.3750 0.4208 0.7500 1
Mo4 0.8750 0.8292 0.7500 1
Fe1 0.5000 0.5000 0.0000 1
Fe2 0.2500 0.7500 0.5000 1
Br1 0.0000 0.0000 0.0000 1
Br2 0.7500 0.2500 0.5000 1
# - space-group type = No. 122
# - total DFT energy (no corrections) (eV for the cell shown) = -54.60
# - uncorrected formation energy (eV/atom) = 1.125
# - offset from the most stable computed form (eV per atom) = 0.681

Question: Which formula does entry 2 have?
Answer: FeMo2Br